Record 1
{"formula": "GaSe2N2", "functional": "PBE-GGA", "state": "relaxed", "e_form_raw_ev_per_atom": 1.297, "e_above_lowest_polymorph_ev_per_atom": 0.0516, "crystal_system": "tetragonal", "total_energy_ev_per_cell": -20.16, "lattice_angstrom": [[-0.419, -3.709, -0.162], [2.043, -0.094, -3.127], [6.155, -0.873, 4.048]], "species": ["Ga", "Se", "Se", "N", "N"], "frac_coords": [[0.500, 0.500, 0.500], [0.000, 0.000, 0.000], [0.000, 0.000, 0.500], [0.000, 0.500, 0.000], [0.500, 0.000, 0.000]]}

Record 2
{"formula": "GaSe3N", "functional": "PBE-GGA", "state": "relaxed", "e_form_raw_ev_per_atom": 0.783, "e_above_lowest_polymorph_ev_per_atom": 0.0000, "crystal_system": "cubic", "total_energy_ev_per_cell": -17.89, "lattice_angstrom": [[-2.328, 3.822, -0.238], [-3.210, -2.100, -2.319], [-2.089, -1.034, 3.828]], "species": ["Se", "Se", "Se", "Ga", "N"], "frac_coords": [[0.000, 0.500, 0.000], [0.000, 0.000, 0.500], [0.500, 0.000, 0.000], [0.500, 0.500, 0.500], [0.000, 0.000, 0.000]]}

Record 3
{"formula": "GaSiSe2N", "functional": "PBE-GGA", "state": "relaxed", "e_form_raw_ev_per_atom": 0.781, "e_above_lowest_polymorph_ev_per_atom": 0.6436, "crystal_system": "tetragonal", "total_energy_ev_per_cell": -19.84, "lattice_angstrom": [[5.149, 0.000, 0.000], [0.000, 5.149, 0.000], [0.000, 0.000, 3.693]], "species": ["Si", "Ga", "Se", "Se", "N"], "frac_coords": [[0.500, 0.500, 0.500], [0.000, 0.000, 0.000], [0.000, 0.500, 0.000], [0.500, 0.000, 0.000], [0.000, 0.000, 0.500]]}

Record 4
{"formula": "GaSiSe2N", "functional": "PBE-GGA", "state": "relaxed", "e_form_raw_ev_per_atom": 0.137, "e_above_lowest_polymorph_ev_per_atom": 0.0000, "crystal_system": "tetragonal", "total_energy_ev_per_cell": -23.06, "lattice_angstrom": [[5.261, 0.000, 0.000], [0.000, 5.261, 0.000], [0.000, 0.000, 3.270]], "species": ["Si", "Ga", "Se", "Se", "N"], "frac_coords": [[0.000, 0.000, 0.000], [0.500, 0.500, 0.500], [0.000, 0.500, 0.000], [0.500, 0.000, 0.000], [0.000, 0.000, 0.500]]}